Record 1
A relaxed Ni2P2Se3S3 crystal. Source: the Alexandria database, functional GGA-PBEsol.

```
data_Ni2P2Se3S3
_space_group_name_H-M_alt 'P 1'
_space_group_IT_number 1
_cell_length_a 5.864
_cell_length_b 5.894
_cell_length_c 6.729
_cell_angle_alpha 81.48
_cell_angle_beta 73.49
_cell_angle_gamma 60.48
loop_
_space_group_symop_operation_xyz
'x,y,z'
loop_
_atom_site_label
_atom_site_fract_x
_atom_site_fract_y
_atom_site_fract_z
_atom_site_occupancy
Ni1 0.000 0.000 0.000 1
Ni2 0.334 0.347 0.001 1
P1 0.627 0.656 0.160 1
P2 0.712 0.673 0.821 1
Se1 0.106 0.313 0.752 1
Se2 0.239 0.020 0.241 1
Se3 0.741 0.037 0.753 1
S1 0.379 0.675 0.776 1
S2 0.603 0.316 0.219 1
S3 0.947 0.664 0.219 1
```

Calculated values
E_form (uncorrected) = -0.2001 eV per atom
SG = P1, No. 1

***

Record 2
A relaxed KRb2GaBr6 crystal. Source: the Alexandria database, functional GGA-PBEsol.

```
data_KRb2GaBr6
_space_group_name_H-M_alt 'P 1'
_space_group_IT_number 1
_cell_length_a 7.868
_cell_length_b 7.868
_cell_length_c 7.868
_cell_angle_alpha 60.00
_cell_angle_beta 60.00
_cell_angle_gamma 60.00
loop_
_space_group_symop_operation_xyz
'x,y,z'
loop_
_atom_site_label
_atom_site_fract_x
_atom_site_fract_y
_atom_site_fract_z
_atom_site_occupancy
K1 0.000 0.000 0.000 1
Rb1 0.250 0.250 0.250 1
Rb2 0.750 0.750 0.750 1
Ga1 0.500 0.500 0.500 1
Br1 0.273 0.273 0.727 1
Br2 0.273 0.727 0.273 1
Br3 0.273 0.727 0.727 1
Br4 0.727 0.273 0.273 1
Br5 0.727 0.273 0.727 1
Br6 0.727 0.727 0.273 1
```

Calculated values
E_form (uncorrected) = -1.3154 eV per atom
SG = Fm-3m, No. 225

***

Record 3
A relaxed Rb2PdSe16 crystal. Source: the Alexandria database, functional GGA-PBEsol.

```
data_Rb2PdSe16
_space_group_name_H-M_alt 'P 1'
_space_group_IT_number 1
_cell_length_a 12.543
_cell_length_b 12.543
_cell_length_c 6.707
_cell_angle_alpha 90.00
_cell_angle_beta 90.00
_cell_angle_gamma 90.00
loop_
_space_group_symop_operation_xyz
'x,y,z'
loop_
_atom_site_label
_atom_site_fract_x
_atom_site_fract_y
_atom_site_fract_z
_atom_site_occupancy
Rb1 0.000 0.000 0.000 1
Rb2 0.000 0.500 0.500 1
Rb3 0.500 0.000 0.500 1
Rb4 0.500 0.500 0.000 1
Pd1 0.000 0.000 0.500 1
Pd2 0.500 0.500 0.500 1
Se1 0.024 0.192 0.477 1
Se2 0.080 0.696 0.092 1
Se3 0.083 0.304 0.902 1
Se4 0.192 0.976 0.523 1
Se5 0.196 0.417 0.098 1
Se6 0.196 0.580 0.908 1
Se7 0.205 0.206 0.365 1
Se8 0.206 0.795 0.635 1
Se9 0.294 0.295 0.635 1
Se10 0.295 0.706 0.365 1
Se11 0.304 0.080 0.908 1
Se12 0.304 0.917 0.098 1
Se13 0.308 0.476 0.523 1
Se14 0.417 0.804 0.902 1
Se15 0.420 0.196 0.092 1
Se16 0.476 0.692 0.477 1
Se17 0.524 0.308 0.477 1
Se18 0.580 0.804 0.092 1
Se19 0.583 0.196 0.902 1
Se20 0.692 0.524 0.523 1
Se21 0.696 0.083 0.098 1
Se22 0.696 0.920 0.908 1
Se23 0.705 0.294 0.365 1
Se24 0.706 0.705 0.635 1
Se25 0.794 0.205 0.635 1
Se26 0.795 0.794 0.365 1
Se27 0.804 0.420 0.908 1
Se28 0.804 0.583 0.098 1
Se29 0.808 0.024 0.523 1
Se30 0.917 0.696 0.902 1
Se31 0.920 0.304 0.092 1
Se32 0.976 0.808 0.477 1
```

Calculated values
E_form (uncorrected) = -0.2638 eV per atom
SG = P-4b2, No. 117

***

Record 4
A relaxed Ba3Nb2CdO9 crystal. Source: the Alexandria database, functional GGA-PBEsol.

```
data_Ba3Nb2CdO9
_space_group_name_H-M_alt 'P 1'
_space_group_IT_number 1
_cell_length_a 5.895
_cell_length_b 5.895
_cell_length_c 7.277
_cell_angle_alpha 90.00
_cell_angle_beta 90.00
_cell_angle_gamma 120.00
loop_
_space_group_symop_operation_xyz
'x,y,z'
loop_
_atom_site_label
_atom_site_fract_x
_atom_site_fract_y
_atom_site_fract_z
_atom_site_occupancy
Ba1 0.000 0.000 0.000 1
Ba2 0.333 0.667 0.667 1
Ba3 0.667 0.333 0.333 1
Nb1 0.333 0.667 0.170 1
Nb2 0.667 0.333 0.830 1
Cd1 0.000 0.000 0.500 1
O1 0.000 0.500 0.000 1
O2 0.175 0.351 0.315 1
O3 0.175 0.825 0.315 1
O4 0.351 0.175 0.685 1
O5 0.500 0.000 0.000 1
O6 0.500 0.500 0.000 1
O7 0.649 0.825 0.315 1
O8 0.825 0.175 0.685 1
O9 0.825 0.649 0.685 1
```

Calculated values
E_form (uncorrected) = -2.6356 eV per atom
SG = P-3m1, No. 164

***

Record 5
A relaxed RbLa2H crystal. Source: the Alexandria database, functional GGA-PBEsol.

```
data_RbLa2H
_space_group_name_H-M_alt 'P 1'
_space_group_IT_number 1
_cell_length_a 7.667
_cell_length_b 7.667
_cell_length_c 9.448
_cell_angle_alpha 90.00
_cell_angle_beta 90.00
_cell_angle_gamma 90.00
loop_
_space_group_symop_operation_xyz
'x,y,z'
loop_
_atom_site_label
_atom_site_fract_x
_atom_site_fract_y
_atom_site_fract_z
_atom_site_occupancy
Rb1 0.000 0.000 0.000 1
Rb2 0.000 0.500 0.250 1
Rb3 0.500 0.000 0.750 1
Rb4 0.500 0.500 0.500 1
La1 0.069 0.250 0.625 1
La2 0.250 0.569 0.875 1
La3 0.250 0.931 0.375 1
La4 0.431 0.250 0.125 1
La5 0.569 0.750 0.125 1
La6 0.750 0.069 0.375 1
La7 0.750 0.431 0.875 1
La8 0.931 0.750 0.625 1
H1 0.000 0.000 0.500 1
H2 0.000 0.500 0.750 1
H3 0.500 0.000 0.250 1
H4 0.500 0.500 0.000 1
```

Calculated values
SG = I-42d, No. 122

***

Record 6
A relaxed InPb2 crystal. Source: the Alexandria database, functional GGA-PBEsol.

```
data_InPb2
_space_group_name_H-M_alt 'P 1'
_space_group_IT_number 1
_cell_length_a 3.393
_cell_length_b 4.898
_cell_length_c 10.254
_cell_angle_alpha 90.00
_cell_angle_beta 90.00
_cell_angle_gamma 90.00
loop_
_space_group_symop_operation_xyz
'x,y,z'
loop_
_atom_site_label
_atom_site_fract_x
_atom_site_fract_y
_atom_site_fract_z
_atom_site_occupancy
In1 0.000 0.000 0.000 1
In2 0.500 0.500 0.500 1
Pb1 0.000 0.000 0.333 1
Pb2 0.000 0.000 0.667 1
Pb3 0.500 0.500 0.167 1
Pb4 0.500 0.500 0.833 1
```

Calculated values
SG = Immm, No. 71
energy of formation from the pure elements = 0.010 eV/atom

***

no.,energy (eV for the cell shown)
1,-50.60
2,-30.90
3,-149.25
4,-116.06
5,-56.95
6,-21.90